First-principles (GGA-PBE) data for a relaxed structure of Bi2IN, as listed in Alexandria via LeMat-Bulk.

Properties
E_tot ... -3.893 eV per atom
Excess energy over the best structure of this formula in the dataset ... 0.00 eV/f.u.
E_form (uncorrected) ... 199 kJ/mol of formula units
Magnetization ... 0.00 μB/f.u.

Unit cell a=8.0319 b=8.0319 c=8.0319 alpha=134.13 beta=134.13 gamma=66.88
With the nearest neighbours (Å) after each atom.
Atoms (fractional coordinates):
Bi  0.3750  0.2275  0.3525  2 N 2.38
Bi  0.7725  0.1250  0.1475  2 N 2.38
Bi  0.8750  0.0225  0.6475  2 N 2.38
Bi  0.9775  0.6250  0.8525  2 N 2.38
I  0.2500  0.7500  0.5000  4 Bi 3.38
I  0.5000  0.5000  0.0000  4 Bi 3.38
N  0.0000  0.0000  0.0000  4 Bi 2.38
N  0.7500  0.2500  0.5000  4 Bi 2.38

---

First-principles (GGA-PBE) data for a relaxed structure of BiI2N, as listed in Alexandria via LeMat-Bulk.

Properties
E_tot ... -2.659 eV per atom
Excess energy over the best structure of this formula in the dataset ... 1.84 eV/f.u.
E_form (uncorrected) ... 451 kJ/mol of formula units
Magnetization ... 2.11 μB/f.u.

Unit cell a=5.4282 b=5.4282 c=5.4282 alpha=60.00 beta=60.00 gamma=60.00
With the nearest neighbours (Å) after each atom.
Atoms (fractional coordinates):
Bi  0.0000  0.0000  0.0000  8 I 3.32
I  0.2500  0.2500  0.2500  4 N 3.32, 4 Bi 3.32
I  0.7500  0.7500  0.7500  4 N 3.32, 4 Bi 3.32
N  0.5000  0.5000  0.5000  8 I 3.32

---

First-principles (GGA-PBE) data for a relaxed structure of BiI2N2, as listed in Alexandria via LeMat-Bulk.

Properties
E_tot ... -4.857 eV per atom
Excess energy over the best structure of this formula in the dataset ... 0.00 eV/f.u.
E_form (uncorrected) ... -63 kJ/mol of formula units
Magnetization ... 0.00 μB/f.u.

Unit cell a=5.2515 b=5.2515 c=10.6884 alpha=92.82 beta=92.82 gamma=49.21
With the nearest neighbours (Å) after each atom.
Atoms (fractional coordinates):
Bi  0.0000  0.0000  0.0000  4 I 3.10
I  0.3416  0.3416  0.8432  2 Bi 3.10
I  0.6584  0.6584  0.1568  2 Bi 3.10
N  0.0303  0.0303  0.5460  1 N 1.11
N  0.9697  0.9697  0.4540  1 N 1.11

---

Which calculated volume belongs to each record? In order, 32.83, 28.27, 44.57 Å³ per atom.